Ba2InCuO4 (GGA-PBEsol, optimized geometry); uncorrected energy = -0.2196 hartree per atom; magnetic moment = 0.001 μB/cell; uncorrected formation energy = -1.9004 eV per atom; SG = No. 123; mass density = 6113 kg/m3
1.0
4.1586 0.0000 0.0000
0.0000 4.1586 0.0000
0.0000 0.0000 8.1204
Ba In Cu O
2 1 1 4
Direct
0.0000 0.0000 0.2327
0.0000 0.0000 0.7673
0.5000 0.5000 0.0000
0.5000 0.5000 0.5000
0.0000 0.5000 0.0000
0.5000 0.0000 0.0000
0.5000 0.5000 0.2802
0.5000 0.5000 0.7198



YMn2Hg (GGA-PBEsol, optimized geometry); uncorrected energy = -0.2268 hartree per atom; magnetic moment = 20.419 μB/cell; energy relative to the elements = 0.557 eV per atom; SG = No. 166; mass density = 8504 kg/m3
1.0
3.1618 0.0000 0.0000
-1.5809 2.7382 0.0000
0.0000 0.0000 27.0226
Y Mn Hg
3 6 3
Direct
0.0000 0.0000 0.0000
0.3333 0.6667 0.6667
0.6667 0.3333 0.3333
0.0000 0.0000 0.2460
0.0000 0.0000 0.7540
0.3333 0.6667 0.4206
0.3333 0.6667 0.9127
0.6667 0.3333 0.0873
0.6667 0.3333 0.5794
0.0000 0.0000 0.5000
0.3333 0.6667 0.1667
0.6667 0.3333 0.8333



CaZr2Si (GGA-PBEsol, optimized geometry); uncorrected energy = -0.2439 hartree per atom; magnetic moment = 0.000 μB/cell; uncorrected formation energy = -0.1230 eV per atom; SG = No. 123; mass density = 4698 kg/m3
1.0
3.0743 0.0000 0.0000
0.0000 3.0743 0.0000
0.0000 0.0000 9.3716
Ca Zr Si
1 2 1
Direct
0.0000 0.0000 0.0000
0.5000 0.5000 0.3106
0.5000 0.5000 0.6894
0.0000 0.0000 0.5000



LiWNO2 (GGA-PBEsol, optimized geometry); uncorrected energy = -0.3080 hartree per atom; magnetic moment = 0.000 μB/cell; uncorrected formation energy = -1.4201 eV per atom; SG = No. 123; mass density = 6764 kg/m3
1.0
3.8584 0.0000 0.0000
0.0000 3.8584 0.0000
0.0000 0.0000 3.9047
Li W N O
1 1 1 2
Direct
0.0000 0.0000 0.0000
0.5000 0.5000 0.5000
0.5000 0.5000 0.0000
0.0000 0.5000 0.5000
0.5000 0.0000 0.5000



LaRh2W (GGA-PBEsol, optimized geometry); energy relative to the lowest polymorph listed for this composition = 0.558 eV per atom; uncorrected energy = -0.3106 hartree per atom; magnetic moment = 0.000 μB/cell; energy relative to the elements = 0.407 eV per atom; SG = No. 160; mass density = 12769 kg/m3
1.0
2.8581 0.0000 0.0000
-1.4290 2.4752 0.0000
0.0000 0.0000 29.1494
La Rh W
3 6 3
Direct
0.0000 0.0000 0.0000
0.3333 0.6667 0.6667
0.6667 0.3333 0.3333
0.0000 0.0000 0.2468
0.0000 0.0000 0.5039
0.3333 0.6667 0.1706
0.3333 0.6667 0.9135
0.6667 0.3333 0.5802
0.6667 0.3333 0.8372
0.0000 0.0000 0.7674
0.3333 0.6667 0.4340
0.6667 0.3333 0.1007



ScCuPOs2 (GGA-PBEsol, optimized geometry); uncorrected energy = -0.2633 hartree per atom; magnetic moment = 0.001 μB/cell; energy relative to the elements = 1.069 eV per atom; SG = No. 123; mass density = 10377 kg/m3
1.0
4.5872 0.0000 0.0000
0.0000 4.5872 0.0000
0.0000 0.0000 3.9538
Sc Cu P Os
1 1 1 2
Direct
0.0000 0.0000 0.0000
0.5000 0.5000 0.5000
0.5000 0.5000 0.0000
0.0000 0.5000 0.5000
0.5000 0.0000 0.5000



Sb2AsIr (GGA-PBEsol, optimized geometry); energy relative to the lowest polymorph listed for this composition = 0.309 eV per atom; uncorrected energy = -0.2078 hartree per atom; magnetic moment = 0.000 μB/cell; uncorrected formation energy = 0.3560 eV per atom; SG = No. 139; mass density = 10793 kg/m3
1.0
4.5577 0.0000 0.0000
0.0000 4.5577 0.0000
0.0000 0.0000 7.5646
Sb As Ir
4 2 2
Direct
0.0000 0.5000 0.2500
0.0000 0.5000 0.7500
0.5000 0.0000 0.2500
0.5000 0.0000 0.7500
0.0000 0.0000 0.0000
0.5000 0.5000 0.5000
0.0000 0.0000 0.5000
0.5000 0.5000 0.0000



YFe2Se (GGA-PBEsol, optimized geometry); uncorrected energy = -0.2776 hartree per atom; magnetic moment = 7.874 μB/cell; uncorrected formation energy = -0.4053 eV per atom; SG = No. 160; mass density = 7168 kg/m3
1.0
3.9126 0.0000 0.0000
-1.9563 3.3884 0.0000
0.0000 0.0000 14.6534
Y Fe Se
3 6 3
Direct
0.0000 0.0000 0.0000
0.3333 0.6667 0.6667
0.6667 0.3333 0.3333
0.0000 0.0000 0.4850
0.0000 0.0000 0.7944
0.3333 0.6667 0.1517
0.3333 0.6667 0.4611
0.6667 0.3333 0.1277
0.6667 0.3333 0.8184
0.0000 0.0000 0.2067
0.3333 0.6667 0.8734
0.6667 0.3333 0.5400



K3SnSe3 (GGA-PBEsol, optimized geometry); uncorrected energy = -0.1369 hartree per atom; magnetic moment = 0.000 μB/cell; uncorrected formation energy = -0.9804 eV per atom; SG = No. 14; mass density = 3425 kg/m3
1.0
9.0090 0.0000 0.0000
0.0000 12.7320 0.0000
-3.8319 0.0000 7.9963
K Sn Se
12 4 12
Direct
0.0029 0.1632 0.0136
0.0029 0.3368 0.5136
0.2242 0.5683 0.2086
0.2242 0.9317 0.7086
0.4419 0.2132 0.8101
0.4419 0.2868 0.3101
0.5581 0.7132 0.6899
0.5581 0.7868 0.1899
0.7758 0.0683 0.2914
0.7758 0.4317 0.7914
0.9971 0.6632 0.4864
0.9971 0.8368 0.9864
0.3406 0.5084 0.8696
0.3406 0.9916 0.3696
0.6594 0.0084 0.6304
0.6594 0.4916 0.1304
0.1701 0.1305 0.4282
0.1701 0.3695 0.9282
0.2405 0.6932 0.8775
0.2405 0.8068 0.3775
0.3500 0.0284 0.0936
0.3500 0.4716 0.5936
0.6500 0.5284 0.4064
0.6500 0.9716 0.9064
0.7595 0.1932 0.6225
0.7595 0.3068 0.1225
0.8299 0.6305 0.0718
0.8299 0.8695 0.5718



ZrAlCu (GGA-PBEsol, optimized geometry); uncorrected energy = -0.2289 hartree per atom; magnetic moment = 0.000 μB/cell; energy relative to the elements = -0.389 eV per atom; SG = No. 57; mass density = 6263 kg/m3
1.0
5.4973 0.0000 0.0000
0.0000 7.0668 0.0000
0.0000 0.0000 4.9620
Zr Al Cu
4 4 4
Direct
0.1075 0.1033 0.2500
0.1075 0.3967 0.7500
0.8925 0.6033 0.2500
0.8925 0.8967 0.7500
0.3841 0.0520 0.7500
0.3841 0.4480 0.2500
0.6159 0.5520 0.7500
0.6159 0.9480 0.2500
0.3205 0.7500 0.0000
0.3205 0.7500 0.5000
0.6795 0.2500 0.0000
0.6795 0.2500 0.5000



TiTe2Pt (GGA-PBEsol, optimized geometry); uncorrected energy = -0.2100 hartree per atom; magnetic moment = 0.001 μB/cell; uncorrected formation energy = -0.1296 eV per atom; SG = No. 122; mass density = 7453 kg/m3
1.0
5.9809 0.0000 0.0000
0.0000 5.9809 0.0000
0.0000 0.0000 12.4109
Ti Te Pt
4 8 4
Direct
0.0000 0.0000 0.0000
0.0000 0.5000 0.2500
0.5000 0.0000 0.7500
0.5000 0.5000 0.5000
0.2439 0.2500 0.6250
0.2500 0.7439 0.8750
0.2500 0.7561 0.3750
0.2561 0.2500 0.1250
0.7439 0.7500 0.1250
0.7500 0.2439 0.3750
0.7500 0.2561 0.8750
0.7561 0.7500 0.6250
0.0000 0.0000 0.5000
0.0000 0.5000 0.7500
0.5000 0.0000 0.2500
0.5000 0.5000 0.0000



KNa2P3O9 (GGA-PBEsol, optimized geometry); uncorrected energy = -0.2506 hartree per atom; magnetic moment = 0.000 μB/cell; uncorrected formation energy = -2.2497 eV per atom; SG = No. 2; mass density = 2656 kg/m3
1.0
6.7580 0.0000 0.0000
1.7148 6.6675 0.0000
3.2422 -0.2534 8.9349
K Na P O
2 4 6 18
Direct
0.1522 0.4641 0.1624
0.8478 0.5359 0.8376
0.2294 0.9241 0.8318
0.2846 0.2164 0.4878
0.7154 0.7836 0.5122
0.7706 0.0759 0.1682
0.2388 0.7429 0.4746
0.2907 0.9580 0.1949
0.3750 0.3840 0.7822
0.6250 0.6160 0.2178
0.7093 0.0420 0.8051
0.7612 0.2571 0.5254
0.0654 0.6444 0.5659
0.1477 0.8719 0.3508
0.1539 0.0071 0.0977
0.2494 0.2617 0.7387
0.2579 0.5743 0.8715
0.3325 0.8654 0.5481
0.3904 0.1109 0.2314
0.4328 0.5676 0.3650
0.4769 0.7522 0.1263
0.5231 0.2478 0.8737
0.5672 0.4324 0.6350
0.6096 0.8891 0.7686
0.6675 0.1346 0.4519
0.7421 0.4257 0.1285
0.7506 0.7383 0.2613
0.8461 0.9929 0.9023
0.8523 0.1281 0.6492
0.9346 0.3556 0.4341



ReSbTe (GGA-PBEsol, optimized geometry); energy relative to the lowest polymorph listed for this composition = 0.000 eV per atom; uncorrected energy = -0.2386 hartree per atom; magnetic moment = 0.005 μB/cell; uncorrected formation energy = 0.6466 eV per atom; SG = No. 42; mass density = 10964 kg/m3
1.0
3.1798 0.0000 0.0000
0.0000 5.3553 0.0000
0.0000 0.0000 15.4962
Re Sb Te
4 4 4
Direct
0.0000 0.0000 0.0000
0.0000 0.5000 0.5000
0.5000 0.0000 0.5000
0.5000 0.5000 0.0000
0.0000 0.0000 0.6438
0.0000 0.5000 0.1438
0.5000 0.0000 0.1438
0.5000 0.5000 0.6438
0.0000 0.0000 0.3610
0.0000 0.5000 0.8610
0.5000 0.0000 0.8610
0.5000 0.5000 0.3610



InNi (GGA-PBEsol, optimized geometry); uncorrected energy = -0.1758 hartree per atom; magnetic moment = 0.000 μB/cell; energy relative to the elements = -0.215 eV per atom; SG = No. 191; mass density = 8606 kg/m3
1.0
5.1917 0.0000 0.0000
-2.5959 4.4961 0.0000
0.0000 0.0000 4.3029
In Ni
3 3
Direct
0.0000 0.0000 0.0000
0.3333 0.6667 0.5000
0.6667 0.3333 0.5000
0.0000 0.5000 0.0000
0.5000 0.0000 0.0000
0.5000 0.5000 0.0000



ReNiIr2 (GGA-PBEsol, optimized geometry); energy relative to the lowest polymorph listed for this composition = 0.427 eV per atom; uncorrected energy = -0.3486 hartree per atom; magnetic moment = 0.002 μB/cell; energy relative to the elements = 0.298 eV per atom; SG = No. 123; mass density = 18969 kg/m3
1.0
4.5151 0.0000 0.0000
0.0000 4.5151 0.0000
0.0000 0.0000 2.7024
Re Ni Ir
1 1 2
Direct
0.0000 0.0000 0.0000
0.5000 0.5000 0.0000
0.0000 0.5000 0.5000
0.5000 0.0000 0.5000



CeP3H8O7 (GGA-PBEsol, optimized geometry); uncorrected energy = -0.2180 hartree per atom; magnetic moment = 2.000 μB/cell; SG = No. 2; mass density = 2745 kg/m3
1.0
7.0691 0.0000 0.0000
-2.1661 7.6075 0.0000
-0.9537 -3.2423 7.9435
Ce P H O
2 6 16 14
Direct
0.1513 0.3136 0.3710
0.8487 0.6864 0.6290
0.0319 0.1823 0.9054
0.3451 0.6833 0.7727
0.4764 0.7088 0.2908
0.5236 0.2912 0.7092
0.6549 0.3167 0.2273
0.9681 0.8177 0.0946
0.0544 0.3469 0.8656
0.1827 0.9973 0.5497
0.1952 0.7849 0.4667
0.2261 0.1595 0.9093
0.3360 0.6413 0.9205
0.3628 0.8782 0.8257
0.4632 0.8690 0.2547
0.4725 0.5746 0.1310
0.5275 0.4254 0.8690
0.5368 0.1310 0.7453
0.6372 0.1218 0.1743
0.6640 0.3587 0.0795
0.7739 0.8405 0.0907
0.8048 0.2151 0.5333
0.8173 0.0027 0.4503
0.9456 0.6531 0.1344
0.0077 0.7741 0.9180
0.1231 0.9855 0.2368
0.1370 0.8667 0.5509
0.1470 0.5625 0.6430
0.2858 0.6324 0.3478
0.3192 0.2320 0.5920
0.4676 0.3460 0.2865
0.5324 0.6540 0.7135
0.6808 0.7680 0.4080
0.7142 0.3676 0.6522
0.8530 0.4375 0.3570
0.8630 0.1333 0.4491
0.8769 0.0145 0.7632
0.9923 0.2259 0.0820



Sm3Si6Pd20 (GGA-PBEsol, optimized geometry); uncorrected energy = -0.2450 hartree per atom; magnetic moment = 0.000 μB/cell; uncorrected formation energy = -0.8405 eV per atom; SG = No. 225; mass density = 10102 kg/m3
1.0
0.0000 6.0900 6.0900
6.0900 0.0000 6.0900
6.0900 6.0900 0.0000
Sm Si Pd
3 6 20
Direct
0.0000 0.0000 0.0000
0.2500 0.2500 0.2500
0.7500 0.7500 0.7500
0.2672 0.2672 0.7328
0.2672 0.7328 0.2672
0.2672 0.7328 0.7328
0.7328 0.2672 0.2672
0.7328 0.2672 0.7328
0.7328 0.7328 0.2672
0.0000 0.0000 0.3467
0.0000 0.0000 0.6533
0.0000 0.3467 0.0000
0.0000 0.3467 0.6533
0.0000 0.6533 0.0000
0.0000 0.6533 0.3467
0.1532 0.6156 0.6156
0.3467 0.0000 0.0000
0.3467 0.0000 0.6533
0.3467 0.6533 0.0000
0.3844 0.3844 0.3844
0.3844 0.3844 0.8468
0.3844 0.8468 0.3844
0.6156 0.1532 0.6156
0.6156 0.6156 0.1532
0.6156 0.6156 0.6156
0.6533 0.0000 0.0000
0.6533 0.0000 0.3467
0.6533 0.3467 0.0000
0.8468 0.3844 0.3844



KZn2Re (GGA-PBEsol, optimized geometry); energy relative to the lowest polymorph listed for this composition = 0.132 eV per atom; uncorrected energy = -0.1386 hartree per atom; magnetic moment = 0.000 μB/cell; energy relative to the elements = 0.636 eV per atom; SG = No. 99; mass density = 8547 kg/m3
1.0
2.6613 0.0000 0.0000
0.0000 2.6613 0.0000
0.0000 0.0000 9.7693
K Zn Re
1 2 1
Direct
0.0000 0.0000 0.0000
0.0000 0.0000 0.4977
0.5000 0.5000 0.7060
0.5000 0.5000 0.2925



CaTlSb2I (GGA-PBEsol, optimized geometry); uncorrected energy = -0.1087 hartree per atom; magnetic moment = 0.001 μB/cell; uncorrected formation energy = 0.1714 eV per atom; SG = No. 123; mass density = 5393 kg/m3
1.0
5.5482 0.0000 0.0000
0.0000 5.5482 0.0000
0.0000 0.0000 6.1504
Ca Tl Sb I
1 1 2 1
Direct
0.0000 0.0000 0.0000
0.5000 0.5000 0.5000
0.0000 0.5000 0.5000
0.5000 0.0000 0.5000
0.5000 0.5000 0.0000



RbMgHg3 (GGA-PBEsol, optimized geometry); uncorrected energy = -0.0361 hartree per atom; magnetic moment = 0.000 μB/cell; energy relative to the elements = -0.095 eV per atom; SG = No. 221; mass density = 7159 kg/m3
1.0
5.4853 0.0000 0.0000
0.0000 5.4853 0.0000
0.0000 0.0000 5.4853
Rb Mg Hg
1 1 3
Direct
0.0000 0.0000 0.0000
0.5000 0.5000 0.5000
0.0000 0.5000 0.5000
0.5000 0.0000 0.5000
0.5000 0.5000 0.0000